Computed, not measured: crystalline Ho2Er2Zr at its relaxed geometry at the PBE-GGA level of DFT.

Lattice parameters (Å, degrees): 8.453 8.462 20.626 90.00 90.00 90.00
Space group Fddd (No. 70, origin choice 2)
Unique sites:
Ho 0.000 0.000 0.000 [16 per cell]
Er 0.125 0.125 0.414 [16 per cell]
Zr 0.125 0.125 0.125 [8 per cell]

Results
Total energy   -4.701 eV per atom